# BaMnMo2O8, optimized geometry, DFT GGA+U
# * space-group type: R-3, No. 148
# * electronic total energy: -7.181 eV/atom
data_BaMnMo2O8
_symmetry_space_group_name_H-M 'P 1'
_symmetry_Int_Tables_number 1
_symmetry_space_group_name_Hall 'P 1'
_cell_length_a 8.167
_cell_length_b 8.167
_cell_length_c 8.167
_cell_angle_alpha 38.37
_cell_angle_beta 38.37
_cell_angle_gamma 38.37
loop_
_atom_site_label
_atom_site_fract_x
_atom_site_fract_y
_atom_site_fract_z
Ba1 0.000 0.000 0.000
Mn1 0.500 0.500 0.500
Mo1 0.243 0.243 0.243
Mo2 0.757 0.757 0.757
O1 0.105 0.772 0.455
O2 0.228 0.545 0.895
O3 0.322 0.322 0.322
O4 0.455 0.105 0.772
O5 0.545 0.895 0.228
O6 0.678 0.678 0.678
O7 0.772 0.455 0.105
O8 0.895 0.228 0.545